Run i
Computed, not measured: a geometry-optimized VSeI2O structure at the PBE with a Hubbard U level of DFT.

Lattice parameters (Å, degrees): 5.622 5.622 3.676 90.00 90.00 90.00
Last column: magnetic moment on the atom in μB.
Positions (direct):
V  0.000  0.000  0.000  0.44
O  0.000  0.000  0.500  -0.06
I  0.000  0.500  0.000  -0.06
I  0.500  0.000  0.000  -0.06
Se  0.500  0.500  0.500  -0.29

Computed properties:
The calculation puts the density of states at the Fermi level at 3.7 states/eV per cell. The volume is 116.2 Å³/cell. The calculated density comes out at 5.71 g/cm³.

---

Run ii
Computed, not measured: a geometry-optimized VSeI2O structure at the PBE with a Hubbard U level of DFT.

Lattice parameters (Å, degrees): 5.841 5.841 3.838 90.00 90.00 90.00
Last column: magnetic moment on the atom in μB.
Positions (direct):
Se  0.000  0.000  0.000  0.00
V  0.500  0.500  0.500  3.19
I  0.500  0.000  0.000  -0.06
I  0.000  0.500  0.000  -0.06
O  0.000  0.000  0.500  0.00

Computed properties:
The calculation puts the density of states at the Fermi level at 5.3 states/eV per cell. The volume is 131.0 Å³/cell. The calculated density comes out at 5.07 g/cm³.

---

Most stable of them? run i.